Record 1
Entry from Alexandria: crystalline BaTcGe at its relaxed geometry (PBE-GGA).

Values from the calculation:
uncorrected energy = -5.85 eV/atom
ρ = 5.9 Mg/m³
DFT formation energy = -20.3 kJ per mole of atoms
SG = P4/nmm, No. 129

Unit cell a=4.039 b=4.039 c=10.660 alpha=90.00 beta=90.00 gamma=90.00
Fractional coordinates of all 6 atoms:
Ba  0.250  0.250  0.199
Ba  0.750  0.750  0.801
Tc  0.250  0.750  0.500
Tc  0.750  0.250  0.500
Ge  0.250  0.250  0.648
Ge  0.750  0.750  0.352

Record 2
Entry from Alexandria: crystalline NaMg2Hg at its relaxed geometry (PBE-GGA).

Values from the calculation:
uncorrected energy = -1.27 eV/atom
ρ = 4.8 Mg/m³
DFT formation energy = -6.3 kJ per mole of atoms
SG = F-43m, No. 216

Unit cell a=5.109 b=5.109 c=5.109 alpha=60.00 beta=60.00 gamma=60.00
Fractional coordinates of all 4 atoms:
Na  0.000  0.000  0.000
Mg  0.250  0.250  0.250
Mg  0.500  0.500  0.500
Hg  0.750  0.750  0.750

Record 3
Entry from Alexandria: crystalline Ho5Bi2H at its relaxed geometry (PBE-GGA).

Values from the calculation:
uncorrected energy = -4.59 eV/atom
ρ = 9.5 Mg/m³
SG = I4mm, No. 107

Unit cell a=6.647 b=6.647 c=6.647 alpha=116.75 beta=116.75 gamma=95.72
Fractional coordinates of all 8 atoms:
Ho  0.000  0.000  0.000
Ho  0.495  0.495  0.499
Ho  0.495  0.996  0.000
Ho  0.996  0.495  0.000
Ho  0.996  0.996  0.501
Bi  0.495  0.995  0.500
Bi  0.995  0.495  0.500
H  0.252  0.252  0.000

Record 4
Entry from Alexandria: crystalline FeHg2Ir at its relaxed geometry (PBE-GGA).

Values from the calculation:
uncorrected energy = -3.98 eV/atom
ρ = 15.6 Mg/m³
DFT formation energy = 48.5 kJ per mole of atoms
energy relative to the lowest polymorph listed for this composition = 218.8 meV per atom
SG = I4/mmm, No. 139

Unit cell a=5.036 b=5.036 c=5.036 alpha=131.98 beta=131.98 gamma=70.26
Fractional coordinates of all 4 atoms:
Fe  0.000  0.000  0.000
Hg  0.250  0.750  0.500
Hg  0.750  0.250  0.500
Ir  0.500  0.500  0.000